Crystalline CaH2Pd2 at its relaxed geometry. Source: Alexandria, functional PBE.

E_tot (eV/cell): -86.2
Crystal system: monoclinic

abc: 5.435 9.233 5.681
angles: 90.00 118.48 90.00
Space group C2/c (No. 15)
Asymmetric unit:
Ca: 0.000 0.125 0.250
H: 0.153 0.375 0.054
Pd: 0.000 0.215 0.750
Pd: 0.000 0.464 0.250


Crystalline CaH3Pd at its relaxed geometry. Source: Alexandria, functional PBE.

E_tot (eV/cell): -71.1
Crystal system: tetragonal

abc: 3.940 3.940 15.438
angles: 90.00 90.00 90.00
Space group I-4m2 (No. 119)
Asymmetric unit:
Ca: 0.000 0.000 0.000
Ca: 0.000 0.500 0.250
H: 0.000 0.000 0.340
H: 0.000 0.398 0.103
Pd: 0.000 0.500 0.655


Crystalline Ca5H12Pd3 at its relaxed geometry. Source: Alexandria, functional PBE.

E_tot (eV/cell): -546.5
Crystal system: cubic

abc: 12.957 12.957 12.957
angles: 90.00 90.00 90.00
Space group Ia-3d (No. 230)
Asymmetric unit:
Ca: 0.000 0.000 0.000
Ca: 0.000 0.250 0.375
H: 0.024 0.033 0.171
Pd: 0.000 0.250 0.125


Please write out number 3 again, unchanged.
Crystalline Ca5H12Pd3 at its relaxed geometry. Source: Alexandria, functional PBE.

E_tot (eV/cell): -546.5
Crystal system: cubic

abc: 12.957 12.957 12.957
angles: 90.00 90.00 90.00
Space group Ia-3d (No. 230)
Asymmetric unit:
Ca: 0.000 0.000 0.000
Ca: 0.000 0.250 0.375
H: 0.024 0.033 0.171
Pd: 0.000 0.250 0.125


Look up the E_tot of the first one.
-86.2 eV/cell


What did the first record say?
Crystalline CaH2Pd2 at its relaxed geometry. Source: Alexandria, functional PBE.

E_tot (eV/cell): -86.2
Crystal system: monoclinic

abc: 5.435 9.233 5.681
angles: 90.00 118.48 90.00
Space group C2/c (No. 15)
Asymmetric unit:
Ca: 0.000 0.125 0.250
H: 0.153 0.375 0.054
Pd: 0.000 0.215 0.750
Pd: 0.000 0.464 0.250